Compound: Y2TiHg
Source: Alexandria
Functional: PBE
Structure: relaxed

Cell and atoms, written as POSCAR:
```
Y2TiHg
1.0
3.4553 0.0000 0.0000
0.0000 3.4553 0.0000
0.0000 0.0000 8.4220
Y Hg Ti
2 1 1
direct
0.0000 0.0000 0.7468 Y
0.0000 0.0000 0.2532 Y
0.5000 0.5000 0.0000 Hg
0.5000 0.5000 0.5000 Ti
```

Values from the calculation:
magnetization = 0.000 Bohr magnetons per cell
density of states at the Fermi level = 1.14 states/eV per atom
raw total energy = -0.1982 Ha/atom

---

Compound: YOsRu2
Source: Alexandria
Functional: PBE
Structure: relaxed

Cell and atoms, written as POSCAR:
```
YOsRu2
1.0
2.9082 0.0000 0.0000
0.0000 2.9082 0.0000
0.0000 0.0000 7.9366
Os Ru Y
1 2 1
direct
0.5000 0.5000 0.7875 Os
0.0000 0.0000 0.9983 Ru
0.5000 0.5000 0.2146 Ru
0.0000 0.0000 0.4995 Y
```

Values from the calculation:
magnetization = 0.000 Bohr magnetons per cell
energy above the most stable polymorph in this dataset = 5.94 kJ per mole of atoms
density of states at the Fermi level = 1.20 states/eV per atom
raw total energy = -0.3248 Ha/atom

---

Compound: ZnCrSi3
Source: Alexandria
Functional: PBE
Structure: relaxed

Cell and atoms, written as POSCAR:
```
ZnCrSi3
1.0
-1.9963 -2.6489 3.0398
1.0895 -3.6203 -2.4391
3.8820 -0.3461 2.2478
Cr Zn Si
1 1 3
direct
0.0000 0.0000 0.0000 Cr
0.5000 0.5000 0.5000 Zn
0.0000 0.5000 0.0000 Si
0.0000 0.0000 0.5000 Si
0.5000 0.0000 0.0000 Si
```

Values from the calculation:
magnetization = 0.000 Bohr magnetons per cell
energy above the most stable polymorph in this dataset = 0.00 kJ per mole of atoms
density of states at the Fermi level = 0.00 states/eV per atom
energy relative to the elements, uncorrected = 0.376 eV per atom
raw total energy = -0.1858 Ha/atom

---

- Which of these has the lowest raw total energy?
  YOsRu2

---

- Number 2 is which compound?
  YOsRu2